[1]
A relaxed structure of LaTc2H2, computed with PBE.

## Properties
- N(E_F) (states/eV/atom) = 1.205
- mass density (g cm⁻³) = 7.9
- polymorph energy (0 for the lowest one) (eV per formula unit) = 1.75

Cell lengths 6.810, 6.810, 3.051 Å; angles 90.00, 90.00, 90.00 degrees
Fractional coordinates of all 10 atoms:
La 0.000 0.000 0.000
La 0.500 0.500 0.000
Tc 0.117 0.383 0.500
Tc 0.383 0.883 0.500
Tc 0.617 0.117 0.500
Tc 0.883 0.617 0.500
H 0.104 0.604 0.000
H 0.396 0.104 0.000
H 0.604 0.896 0.000
H 0.896 0.396 0.000

***

[2]
A relaxed structure of La2TcH6, computed with PBE.

## Properties
- N(E_F) (states/eV/atom) = 0.531
- mass density (g cm⁻³) = 6.0
- energy (eV per atom) = -5.019

Cell lengths 5.299, 5.299, 5.299 Å; angles 60.00, 60.00, 60.00 degrees
Fractional coordinates of all 9 atoms:
La 0.250 0.250 0.250
La 0.750 0.750 0.750
Tc 0.000 0.000 0.000
H 0.240 0.240 0.760
H 0.240 0.760 0.240
H 0.240 0.760 0.760
H 0.760 0.240 0.240
H 0.760 0.240 0.760
H 0.760 0.760 0.240

***

[3]
A relaxed structure of LaZnTcH6, computed with PBE.

## Properties
- N(E_F) (states/eV/atom) = 0.410
- mass density (g cm⁻³) = 5.9
- energy (eV per atom) = -4.327

Cell lengths 4.681, 4.681, 4.570 Å; angles 90.00, 90.00, 120.00 degrees
Fractional coordinates of all 9 atoms:
La 0.000 0.000 0.000
Zn 0.333 0.667 0.500
Tc 0.667 0.333 0.500
H 0.513 0.025 0.232
H 0.513 0.025 0.768
H 0.513 0.487 0.232
H 0.513 0.487 0.768
H 0.975 0.487 0.232
H 0.975 0.487 0.768

***

[4]
A relaxed structure of La2TeH2, computed with PBE.

## Properties
- N(E_F) (states/eV/atom) = 0.565
- mass density (g cm⁻³) = 6.7
- polymorph energy (0 for the lowest one) (eV per formula unit) = 1.59

Cell lengths 7.485, 7.485, 3.601 Å; angles 90.00, 90.00, 90.00 degrees
Fractional coordinates of all 10 atoms:
La 0.163 0.337 0.000
La 0.337 0.837 0.000
La 0.663 0.163 0.000
La 0.837 0.663 0.000
Te 0.000 0.000 0.500
Te 0.500 0.500 0.500
H 0.103 0.603 0.500
H 0.397 0.103 0.500
H 0.603 0.897 0.500
H 0.897 0.397 0.500

***

[5]
A relaxed structure of LaTeH2, computed with PBE.

## Properties
- N(E_F) (states/eV/atom) = 0.776
- mass density (g cm⁻³) = 5.5
- polymorph energy (0 for the lowest one) (eV per formula unit) = 1.12

Cell lengths 7.924, 7.924, 7.924 Å; angles 145.27, 145.27, 49.94 degrees
Fractional coordinates of all 8 atoms:
La 0.000 0.000 0.000
La 0.750 0.250 0.500
Te 0.250 0.750 0.500
Te 0.500 0.500 0.000
H 0.375 0.182 0.307
H 0.818 0.125 0.193
H 0.875 0.068 0.693
H 0.932 0.625 0.807

***

[6]
A relaxed structure of LaTeH2, computed with PBE.

## Properties
- N(E_F) (states/eV/atom) = 0.297
- mass density (g cm⁻³) = 5.6
- polymorph energy (0 for the lowest one) (eV per formula unit) = 0.19

Cell lengths 6.315, 6.315, 6.513 Å; angles 90.00, 90.00, 142.32 degrees
Fractional coordinates of all 8 atoms:
La 0.226 0.774 0.750
La 0.774 0.226 0.250
Te 0.041 0.959 0.250
Te 0.959 0.041 0.750
H 0.302 0.698 0.072
H 0.302 0.698 0.428
H 0.698 0.302 0.572
H 0.698 0.302 0.928

***

[7]
A relaxed structure of LaTe2H, computed with PBE.

## Properties
- N(E_F) (states/eV/atom) = 0.000
- mass density (g cm⁻³) = 4.5
- polymorph energy (0 for the lowest one) (eV per formula unit) = 0.00

Cell lengths 7.777, 7.777, 7.777 Å; angles 35.91, 35.91, 35.91 degrees
Fractional coordinates of all 4 atoms:
La 0.000 0.000 0.000
Te 0.411 0.411 0.411
Te 0.589 0.589 0.589
H 0.500 0.500 0.500

***

[8]
A relaxed structure of La3Te2H, computed with PBE.

## Properties
- N(E_F) (states/eV/atom) = 0.811
- mass density (g cm⁻³) = 5.5
- energy (eV per atom) = -5.020

Cell lengths 8.517, 8.517, 6.375 Å; angles 90.00, 90.00, 60.88 degrees
Fractional coordinates of all 12 atoms:
La 0.088 0.912 0.500
La 0.142 0.574 0.994
La 0.426 0.858 0.994
La 0.574 0.142 0.494
La 0.858 0.426 0.494
La 0.912 0.088 0.000
Te 0.190 0.498 0.495
Te 0.498 0.190 0.995
Te 0.502 0.810 0.495
Te 0.810 0.502 0.995
H 0.175 0.825 0.128
H 0.825 0.175 0.628

***

[9]
A relaxed structure of LaTe3H, computed with PBE.

## Properties
- N(E_F) (states/eV/atom) = 0.671
- mass density (g cm⁻³) = 7.1
- polymorph energy (0 for the lowest one) (eV per formula unit) = 0.00

Cell lengths 4.956, 4.956, 4.956 Å; angles 90.00, 90.00, 90.00 degrees
Fractional coordinates of all 5 atoms:
La 0.000 0.000 0.000
Te 0.000 0.500 0.500
Te 0.500 0.000 0.500
Te 0.500 0.500 0.000
H 0.500 0.500 0.500

***

[10]
A relaxed structure of LaTeH2, computed with PBE.

## Properties
- N(E_F) (states/eV/atom) = 0.711
- mass density (g cm⁻³) = 6.5
- polymorph energy (0 for the lowest one) (eV per formula unit) = 1.27

Cell lengths 4.600, 4.600, 4.600 Å; angles 60.00, 60.00, 60.00 degrees
Fractional coordinates of all 4 atoms:
La 0.000 0.000 0.000
Te 0.500 0.500 0.500
H 0.250 0.250 0.250
H 0.750 0.750 0.750

***

[11]
A relaxed structure of LaTe2H, computed with PBE.

## Properties
- N(E_F) (states/eV/atom) = 0.298
- mass density (g cm⁻³) = 6.5
- polymorph energy (0 for the lowest one) (eV per formula unit) = 1.36

Cell lengths 6.403, 6.403, 6.403 Å; angles 110.24, 110.24, 107.94 degrees
Fractional coordinates of all 8 atoms:
La 0.000 0.000 0.000
La 0.750 0.250 0.500
Te 0.213 0.625 0.088
Te 0.375 0.463 0.588
Te 0.537 0.125 0.912
Te 0.875 0.787 0.412
H 0.250 0.750 0.500
H 0.500 0.500 0.000

***

[12]
A relaxed structure of La2TeH2, computed with PBE.

## Properties
- N(E_F) (states/eV/atom) = 0.461
- mass density (g cm⁻³) = 6.5
- polymorph energy (0 for the lowest one) (eV per formula unit) = 0.00

Cell lengths 7.155, 7.155, 7.155 Å; angles 147.58, 147.58, 46.50 degrees
Fractional coordinates of all 5 atoms:
La 0.143 0.143 0.000
La 0.857 0.857 0.000
Te 0.500 0.500 0.000
H 0.250 0.750 0.500
H 0.750 0.250 0.500